VASP calculation (PBE) on a relaxed structure of Na3Th2PdSe6.

Lattice parameters (Å, degrees): 7.162 7.162 7.565 100.60 100.60 117.76
Site moments in Bohr magnetons follow the coordinates.
Element x y z (fractional)
Na: 0.164 0.836 0.500  0.00
Na: 0.836 0.164 0.500  0.00
Na: 0.500 0.500 0.500  0.00
Th: 0.333 0.667 0.000  0.02
Th: 0.667 0.333 0.000  0.02
Pd: 0.000 0.000 0.000  0.52
Se: 0.920 0.602 0.779  0.05
Se: 0.726 0.726 0.253  0.00
Se: 0.080 0.398 0.221  0.05
Se: 0.602 0.920 0.779  0.05
Se: 0.274 0.274 0.747  0.00
Se: 0.398 0.080 0.221  0.05

Properties
crystal system	monoclinic
formation energy from raw total energies	-1.28	eV/atom
uncorrected energy	-60.299	eV for the cell shown
DOS(E_F)	1.89	states/eV/cell

VASP calculation (PBE) on a relaxed structure of Na3Ti2PdSe6.

Lattice parameters (Å, degrees): 6.640 6.640 7.197 98.76 98.76 120.09
Element x y z (fractional)
Na: 0.161 0.839 0.500
Na: 0.839 0.161 0.500
Na: 0.500 0.500 0.500
Ti: 0.330 0.670 0.000
Ti: 0.670 0.330 0.000
Pd: 0.000 0.000 0.000
Se: 0.929 0.587 0.790
Se: 0.726 0.726 0.204
Se: 0.071 0.413 0.210
Se: 0.587 0.929 0.790
Se: 0.274 0.274 0.796
Se: 0.413 0.071 0.210

Properties
crystal system	monoclinic
formation energy from raw total energies	-0.96	eV/atom
uncorrected energy	-57.328	eV for the cell shown
DOS(E_F)	9.92	states/eV/cell

VASP calculation (PBE) on a relaxed structure of NaTi3Pd2Se6.

Lattice parameters (Å, degrees): 3.685 8.340 9.022 109.76 101.78 90.00
Site moments in Bohr magnetons follow the coordinates.
Element x y z (fractional)
Na: 0.500 0.000 0.000  0.00
Ti: 0.500 0.500 0.000  0.34
Ti: 0.858 0.183 0.716  0.18
Ti: 0.142 0.817 0.284  0.18
Pd: 0.872 0.829 0.744  -0.01
Pd: 0.128 0.171 0.256  -0.01
Se: 0.308 0.933 0.615  -0.01
Se: 0.656 0.617 0.311  -0.01
Se: 0.692 0.067 0.385  -0.01
Se: 0.012 0.287 0.024  -0.01
Se: 0.988 0.713 0.976  -0.01
Se: 0.344 0.383 0.689  -0.01

Properties
crystal system	monoclinic
formation energy from raw total energies	-0.84	eV/atom
uncorrected energy	-66.358	eV for the cell shown
DOS(E_F)	6.50	states/eV/cell

no.,M_tot (μB/f.u.)
1,1.0
2,0.0
3,0.7